1.
The following is a DFT calculation (PBE) of crystalline Ga2IrI6Br2 at its relaxed geometry.

Summary:
* electronic total energy: -2.83 eV per atom
* symmetry: C2/m, No. 12
* V: 46.9 Å³ per atom

a b c (Å): 8.3124 8.3124 8.1100
angles (deg): 95.45 95.45 67.96
Sites, in units of the cell vectors:
Ga 0.2192 0.2192 0.3352
Ga 0.7808 0.7808 0.6648
Ir 0.0000 0.0000 0.0000
I 0.0842 0.6896 0.8502
I 0.1818 0.1818 0.6332
I 0.3104 0.9158 0.1498
I 0.6896 0.0842 0.8502
I 0.8182 0.8182 0.3668
I 0.9158 0.3104 0.1498
Br 0.3825 0.3825 0.2917
Br 0.6175 0.6175 0.7083



2.
The following is a DFT calculation (PBE) of crystalline SrTbIr at its relaxed geometry.

Summary:
* electronic total energy: -5.40 eV per atom
* symmetry: F-43m, No. 216
* V: 28.7 Å³ per atom

a b c (Å): 4.9549 4.9549 4.9549
angles (deg): 60.00 60.00 60.00
Sites, in units of the cell vectors:
Sr 0.0000 0.0000 0.0000
Tb 0.5000 0.5000 0.5000
Ir 0.2500 0.2500 0.2500



Which of these has the lowest V?
SrTbIr



What is the V in the second record?
28.7 Å³ per atom